Tm3HPb PBE optimized geometry; space-group type = P2/m; excess energy over the best structure of this formula in the dataset = 0.0341 eV per atom; crystal system = monoclinic
1.0
3.532 0.356 0.066
-0.846 8.110 1.529
-0.009 -1.392 7.871
Tm H Pb
6 2 2
Direct
0.000 0.968 0.263
0.500 0.270 0.031
0.500 0.730 0.969
0.000 0.460 0.717
0.000 0.540 0.283
0.000 0.032 0.737
0.000 0.750 0.126
0.000 0.250 0.874
0.499 0.756 0.555
0.501 0.244 0.445